Record 1
VASP calculation (PBE-GGA) on LiCaBeI after structural relaxation.

Lattice parameters (Å, degrees): 7.2137 4.2107 7.4919 90.00 109.13 90.00
Last column: nearest neighbours and their distance in Å.
Space group Cm (No. 8)
Inequivalent atoms, fractional coordinates:
Li 0.0000 0.0000 0.0000  3 Be 2.68
Ca 0.3040 0.5000 0.3957  3 Be 2.91-2.92
Be 0.3913 0.0000 0.1642  3 Li 2.68, 3 Ca 2.91-2.92
I 0.0742 0.5000 0.7061  3 Li 3.14-3.22, 3 Ca 3.27

Calculated values
D(E_F) (states/eV/cell): 4.50
VASP energy (eV per atom): -2.3896
Polymorph energy (0 for the lowest one) (meV/atom): 49
Crystal system: monoclinic
Mass density (g cm⁻³): 2.83
Formation energy without anion corrections (eV/f.u.): -0.4

Record 2
VASP calculation (PBE-GGA) on LiCaBeI after structural relaxation.

Lattice parameters (Å, degrees): 5.8623 5.8660 6.9173 90.00 115.05 90.00
Last column: nearest neighbours and their distance in Å.
Space group Cm (No. 8)
Inequivalent atoms, fractional coordinates:
Li 0.0000 0.0000 0.0000  1 Be 2.46
Ca 0.3409 0.0000 0.6817  4 Be 2.97, 1 I 3.28
Be 0.3042 0.5000 0.6081  1 Li 2.46, 1 I 2.52
I 0.1057 0.5000 0.2058  1 Be 2.52

Calculated values
D(E_F) (states/eV/cell): 3.57
VASP energy (eV per atom): -2.3626
Polymorph energy (0 for the lowest one) (meV/atom): 76
Crystal system: monoclinic
Mass density (g cm⁻³): 2.82
Formation energy without anion corrections (eV/f.u.): -0.3

Record 3
VASP calculation (PBE-GGA) on LiCaBeI after structural relaxation.

Lattice parameters (Å, degrees): 3.6988 3.6988 6.9775 90.00 90.00 90.00
Last column: nearest neighbours and their distance in Å.
Space group P4mm (No. 99)
Inequivalent atoms, fractional coordinates:
Li 0.0000 0.0000 0.0000  4 Be 2.92, 1 Ca 2.95, 4 I 3.14
Ca 0.0000 0.0000 0.4233  1 Li 2.95, 4 Be 3.10
Be 0.5000 0.5000 0.1860  4 Li 2.92, 1 I 3.03, 4 Ca 3.10
I 0.5000 0.5000 0.7522  1 Be 3.03, 4 Li 3.14

Calculated values
D(E_F) (states/eV/cell): 2.50
VASP energy (eV per atom): -2.4163
Polymorph energy (0 for the lowest one) (meV/atom): 22
Crystal system: tetragonal
Mass density (g cm⁻³): 3.18
Formation energy without anion corrections (eV/f.u.): -0.5

Record 4
VASP calculation (PBE-GGA) on LiCaBeI after structural relaxation.

Lattice parameters (Å, degrees): 6.8917 3.9697 7.9114 90.00 90.11 90.00
Last column: nearest neighbours and their distance in Å.
Space group Cm (No. 8)
Inequivalent atoms, fractional coordinates:
Li 0.0000 0.0000 0.0000  3 Be 2.91-2.92, 3 I 3.01
Ca 0.0005 0.0000 0.5394  3 Be 2.94, 3 I 3.26-3.27
Be 0.1685 0.5000 0.7719  3 Li 2.91-2.92, 3 Ca 2.94
I 0.3329 0.0000 0.2459  3 Li 3.01, 3 Ca 3.26-3.27

Calculated values
D(E_F) (states/eV/cell): 4.43
VASP energy (eV per atom): -2.3737
Polymorph energy (0 for the lowest one) (meV/atom): 65
Crystal system: monoclinic
Mass density (g cm⁻³): 2.81
Formation energy without anion corrections (eV/f.u.): -0.3

Record 5
VASP calculation (PBE-GGA) on LiCaBeI after structural relaxation.

Lattice parameters (Å, degrees): 4.2614 4.2614 6.6953 90.00 90.00 120.00
Last column: nearest neighbours and their distance in Å.
Space group P3m1 (No. 156)
Inequivalent atoms, fractional coordinates:
Li 0.0000 0.0000 0.0000  3 Be 2.61
Ca 0.3333 0.6667 0.6275  3 Be 2.95
Be 0.6667 0.3333 0.8718  3 Li 2.61, 1 I 2.73
I 0.6667 0.3333 0.2800  1 Be 2.73

Calculated values
D(E_F) (states/eV/cell): 1.22
VASP energy (eV per atom): -2.4341
Polymorph energy (0 for the lowest one) (meV/atom): 4
Crystal system: trigonal
Mass density (g cm⁻³): 2.88
Formation energy without anion corrections (eV/f.u.): -0.5

Record 6
VASP calculation (PBE-GGA) on LiCaBeI after structural relaxation.

Lattice parameters (Å, degrees): 13.9643 3.9905 4.0687 90.00 106.65 90.00
Last column: nearest neighbours and their distance in Å.
Space group Cm (No. 8)
Inequivalent atoms, fractional coordinates:
Li 0.0000 0.0000 0.0000  2 Be 2.58-2.59
Ca 0.1981 0.5000 0.1944  4 Be 3.04, 2 Li 3.32
Be 0.1190 0.0000 0.6161  2 Li 2.58-2.59
I 0.3419 0.0000 0.8361  2 Li 2.91, 1 Be 2.98

Calculated values
D(E_F) (states/eV/cell): 2.40
VASP energy (eV per atom): -2.3894
Polymorph energy (0 for the lowest one) (meV/atom): 49
Crystal system: monoclinic
Mass density (g cm⁻³): 2.80
Formation energy without anion corrections (eV/f.u.): -0.4

Record 7
VASP calculation (PBE-GGA) on LiCaBeI after structural relaxation.

Lattice parameters (Å, degrees): 16.8138 3.7329 3.7407 90.00 102.81 90.00
Last column: nearest neighbours and their distance in Å.
Space group Cm (No. 8)
Inequivalent atoms, fractional coordinates:
Li 0.0000 0.0000 0.0000  2 I 2.93
Ca 0.1670 0.5000 0.6647  4 Be 3.06-3.07
Be 0.2614 0.0000 0.2575  2 I 2.49
I 0.3623 0.5000 0.3620  2 Be 2.49

Calculated values
D(E_F) (states/eV/cell): 3.37
VASP energy (eV per atom): -2.2386
Polymorph energy (0 for the lowest one) (meV/atom): 200
Crystal system: monoclinic
Mass density (g cm⁻³): 2.65
Formation energy without anion corrections (eV/f.u.): 0.2

Record 8
VASP calculation (PBE-GGA) on LiCaBeI after structural relaxation.

Lattice parameters (Å, degrees): 4.3090 4.3090 19.4748 90.00 90.00 120.00
Last column: nearest neighbours and their distance in Å.
Space group R3m (No. 160, hexagonal axes)
Inequivalent atoms, fractional coordinates:
Li 0.0000 0.0000 0.0000  3 Be 2.62
Ca 0.0000 0.0000 0.2107  3 Be 2.95
Be 0.0000 0.0000 0.6250  3 Li 2.62, 1 I 2.63
I 0.0000 0.0000 0.7602  1 Be 2.63

Calculated values
D(E_F) (states/eV/cell): 3.13
VASP energy (eV per atom): -2.4385
Polymorph energy (0 for the lowest one) (meV/atom): 0
Crystal system: trigonal
Mass density (g cm⁻³): 2.91
Formation energy without anion corrections (eV/f.u.): -0.6

Record 9
VASP calculation (PBE-GGA) on LiCaBeI after structural relaxation.

Lattice parameters (Å, degrees): 4.1772 4.1827 6.4166 90.00 90.31 90.00
Last column: nearest neighbours and their distance in Å.
Space group Pm (No. 6)
Inequivalent atoms, fractional coordinates:
Li 0.0000 0.0000 0.0000  1 Be 2.77, 4 I 2.99
Ca 0.4957 0.5000 0.5735  4 Be 2.95-2.96, 2 I 3.20-3.21
Be 0.9953 0.0000 0.5680  1 Li 2.77, 4 Ca 2.95-2.96
I 0.5000 0.5000 0.0725  4 Li 2.99, 2 Ca 3.20-3.21

Calculated values
D(E_F) (states/eV/cell): 3.38
VASP energy (eV per atom): -2.3255
Polymorph energy (0 for the lowest one) (meV/atom): 113
Crystal system: monoclinic
Mass density (g cm⁻³): 2.71
Formation energy without anion corrections (eV/f.u.): -0.1

Record 10
VASP calculation (PBE-GGA) on LiCaBeI after structural relaxation.

Lattice parameters (Å, degrees): 3.7389 5.3197 5.4056 73.74 89.83 89.80
Last column: nearest neighbours and their distance in Å.
Space group P1 (No. 1)
Inequivalent atoms, fractional coordinates:
Li 0.0000 0.0000 0.0000  1 Be 2.55, 2 I 2.73-2.76
Ca 0.5068 0.4020 0.4039  2 Be 3.01-3.02, 4 I 3.36-3.37
Be 0.0112 0.9404 0.4843  1 I 2.51, 1 Li 2.55
I 0.0067 0.5410 0.8662  1 Be 2.51, 2 Li 2.73-2.76

Calculated values
D(E_F) (states/eV/cell): 1.24
VASP energy (eV per atom): -2.3193
Polymorph energy (0 for the lowest one) (meV/atom): 119
Crystal system: triclinic
Mass density (g cm⁻³): 2.94
Formation energy without anion corrections (eV/f.u.): -0.1

Record 11
VASP calculation (PBE-GGA) on LiCaBeI after structural relaxation.

Lattice parameters (Å, degrees): 3.7732 3.6954 7.4173 90.00 103.23 90.00
Last column: nearest neighbours and their distance in Å.
Space group Pm (No. 6)
Inequivalent atoms, fractional coordinates:
Li 0.0000 0.0000 0.0000  4 Be 3.00-3.04, 4 I 3.02, 1 Ca 3.05
Ca 0.8193 0.0000 0.5769  1 Li 3.05, 4 Be 3.08-3.09, 2 I 3.28
Be 0.4179 0.5000 0.7976  1 I 2.93, 4 Li 3.00-3.04, 4 Ca 3.08-3.09
I 0.5915 0.5000 0.2037  1 Be 2.93, 4 Li 3.02, 2 Ca 3.28

Calculated values
D(E_F) (states/eV/cell): 1.48
VASP energy (eV per atom): -2.4104
Polymorph energy (0 for the lowest one) (meV/atom): 28
Crystal system: monoclinic
Mass density (g cm⁻³): 3.02
Formation energy without anion corrections (eV/f.u.): -0.4

Record 12
VASP calculation (PBE-GGA) on CaBeI2O after structural relaxation.

Lattice parameters (Å, degrees): 6.1023 6.1023 4.1616 90.00 90.00 90.00
Last column: nearest neighbours and their distance in Å.
Space group P4/mmm (No. 123)
Inequivalent atoms, fractional coordinates:
Ca 0.0000 0.0000 0.0000  2 O 2.08
Be 0.5000 0.5000 0.5000  8 I 3.69
I 0.0000 0.5000 0.0000  2 Ca 3.05
O 0.0000 0.0000 0.5000  2 Ca 2.08

Calculated values
D(E_F) (states/eV/cell): 7.17
VASP energy (eV per atom): -2.8842
Polymorph energy (0 for the lowest one) (meV/atom): 919
Crystal system: tetragonal
Mass density (g cm⁻³): 3.42
Formation energy without anion corrections (eV/f.u.): -0.6

Record 13
VASP calculation (PBE-GGA) on CaBeIO2 after structural relaxation.

Lattice parameters (Å, degrees): 4.2051 4.2051 6.5604 90.00 90.00 90.00
Last column: nearest neighbours and their distance in Å.
Space group P4/mmm (No. 123)
Inequivalent atoms, fractional coordinates:
Ca 0.0000 0.0000 0.0000  4 O 2.10
Be 0.5000 0.5000 0.5000  4 I 2.97
I 0.0000 0.0000 0.5000  4 Be 2.97, 2 Ca 3.28
O 0.0000 0.5000 0.0000  2 Ca 2.10

Calculated values
D(E_F) (states/eV/cell): 4.58
VASP energy (eV per atom): -3.5614
Polymorph energy (0 for the lowest one) (meV/atom): 735
Crystal system: tetragonal
Mass density (g cm⁻³): 2.98
Formation energy without anion corrections (eV/f.u.): -0.6

Record 14
VASP calculation (PBE-GGA) on CaBeIO2 after structural relaxation.

Lattice parameters (Å, degrees): 4.0095 4.0095 5.0617 90.00 90.00 90.00
Last column: nearest neighbours and their distance in Å.
Space group P4/mmm (No. 123)
Inequivalent atoms, fractional coordinates:
Ca 0.0000 0.0000 0.0000  4 I 2.84
Be 0.5000 0.5000 0.5000  4 O 2.00
I 0.5000 0.5000 0.0000  2 Be 2.53
O 0.0000 0.5000 0.5000  2 Be 2.00

Calculated values
D(E_F) (states/eV/cell): 0.93
VASP energy (eV per atom): -4.2966
Polymorph energy (0 for the lowest one) (meV/atom): 0
Crystal system: tetragonal
Mass density (g cm⁻³): 4.24
Formation energy without anion corrections (eV/f.u.): -4.3